A relaxed structure of FeC2, computed with PBE-GGA.

a b c (Å): 2.781 2.781 12.482
angles (deg): 90.00 90.00 120.00
Element x y z (fractional)
1 Fe 0.000 0.000 0.000
2 Fe 0.333 0.667 0.667
3 Fe 0.667 0.333 0.333
4 C 0.000 0.000 0.140
5 C 0.000 0.000 0.247
6 C 0.333 0.667 0.806
7 C 0.333 0.667 0.913
8 C 0.667 0.333 0.473
9 C 0.667 0.333 0.580

Excess energy over the best structure of this formula in the dataset: 0.467 eV/atom
Formation energy: 0.986 eV/atom
Density of states at the Fermi level: 0.318 states/eV/atom
Total DFT energy (no corrections): -71.9 eV for the cell shown

***

A relaxed structure of Fe2C, computed with PBE-GGA.

a b c (Å): 2.619 2.619 13.716
angles (deg): 90.00 90.00 120.00
Element x y z (fractional)
1 Fe 0.000 0.000 0.000
2 Fe 0.000 0.000 0.183
3 Fe 0.333 0.667 0.667
4 Fe 0.333 0.667 0.850
5 Fe 0.667 0.333 0.333
6 Fe 0.667 0.333 0.517
7 C 0.000 0.000 0.761
8 C 0.333 0.667 0.427
9 C 0.667 0.333 0.094

Formation energy: 0.223 eV/atom
Density of states at the Fermi level: 1.004 states/eV/atom
Total DFT energy (no corrections): -76.4 eV for the cell shown

***

A relaxed structure of Fe7C5, computed with PBE-GGA.

a b c (Å): 5.440 5.440 5.440
angles (deg): 103.35 103.35 122.57
Element x y z (fractional)
1 Fe 0.000 0.000 0.000
2 Fe 0.350 0.586 0.764
3 Fe 0.351 0.851 0.500
4 Fe 0.586 0.350 0.764
5 Fe 0.586 0.821 0.236
6 Fe 0.821 0.586 0.236
7 Fe 0.851 0.351 0.500
8 C 0.060 0.060 0.398
9 C 0.060 0.661 0.000
10 C 0.359 0.359 0.000
11 C 0.661 0.060 0.000
12 C 0.661 0.661 0.602

Formation energy: 1.031 eV/atom
Density of states at the Fermi level: 0.704 states/eV/atom
Total DFT energy (no corrections): -93.0 eV for the cell shown

***

A relaxed structure of FeC3, computed with PBE-GGA.

a b c (Å): 2.962 9.552 2.466
angles (deg): 90.00 90.00 90.00
Element x y z (fractional)
1 Fe 0.000 0.000 0.000
2 Fe 0.000 0.500 0.500
3 C 0.000 0.217 0.000
4 C 0.000 0.283 0.500
5 C 0.000 0.717 0.500
6 C 0.000 0.783 0.000
7 C 0.500 0.000 0.568
8 C 0.500 0.500 0.068

Excess energy over the best structure of this formula in the dataset: 0.364 eV/atom
Formation energy: 0.935 eV/atom
Density of states at the Fermi level: 0.481 states/eV/atom
Total DFT energy (no corrections): -64.8 eV for the cell shown

***

A relaxed structure of FeC3, computed with PBE-GGA.

a b c (Å): 3.331 2.529 4.421
angles (deg): 90.00 101.70 90.00
Element x y z (fractional)
1 Fe 0.000 0.000 0.000
2 C 0.100 0.500 0.301
3 C 0.287 0.500 0.618
4 C 0.431 0.000 0.771

Excess energy over the best structure of this formula in the dataset: 0.102 eV/atom
Formation energy: 0.673 eV/atom
Density of states at the Fermi level: 0.479 states/eV/atom
Total DFT energy (no corrections): -33.4 eV for the cell shown

***

A relaxed structure of Fe2C, computed with PBE-GGA.

a b c (Å): 2.750 9.581 4.289
angles (deg): 90.00 90.00 90.00
Element x y z (fractional)
1 Fe 0.000 0.053 0.250
2 Fe 0.000 0.216 0.750
3 Fe 0.000 0.784 0.250
4 Fe 0.000 0.947 0.750
5 Fe 0.500 0.284 0.250
6 Fe 0.500 0.447 0.750
7 Fe 0.500 0.553 0.250
8 Fe 0.500 0.716 0.750
9 C 0.000 0.415 0.250
10 C 0.000 0.585 0.750
11 C 0.500 0.085 0.750
12 C 0.500 0.915 0.250

Formation energy: 0.451 eV/atom
Density of states at the Fermi level: 0.843 states/eV/atom
Total DFT energy (no corrections): -99.2 eV for the cell shown

***

A relaxed structure of FeC3, computed with PBE-GGA.

a b c (Å): 3.933 3.933 3.933
angles (deg): 90.00 90.00 90.00
Element x y z (fractional)
1 Fe 0.000 0.000 0.000
2 Fe 0.500 0.500 0.500
3 C 0.000 0.000 0.500
4 C 0.000 0.500 0.000
5 C 0.000 0.500 0.500
6 C 0.500 0.000 0.000
7 C 0.500 0.000 0.500
8 C 0.500 0.500 0.000

Excess energy over the best structure of this formula in the dataset: 1.667 eV/atom
Formation energy: 2.238 eV/atom
Density of states at the Fermi level: 0.520 states/eV/atom
Total DFT energy (no corrections): -54.4 eV for the cell shown

***

A relaxed structure of Fe2C, computed with PBE-GGA.

a b c (Å): 5.145 5.145 3.338
angles (deg): 90.00 90.00 120.00
Element x y z (fractional)
1 Fe 0.000 0.272 0.000
2 Fe 0.000 0.612 0.500
3 Fe 0.272 0.000 0.000
4 Fe 0.388 0.388 0.500
5 Fe 0.612 0.000 0.500
6 Fe 0.728 0.728 0.000
7 C 0.000 0.000 0.500
8 C 0.333 0.667 0.000
9 C 0.667 0.333 0.000

Formation energy: 0.288 eV/atom
Density of states at the Fermi level: 0.695 states/eV/atom
Total DFT energy (no corrections): -75.9 eV for the cell shown

***

Question: What is the total DFT energy (no corrections) in the first record?
Answer: -71.9 eV for the cell shown

***

Question: Among the records above, which one has the lowest density of states at the Fermi level?
Answer: FeC2

***

Question: density of states at the Fermi level of number 7 (FeC3)?
Answer: 0.520 states/eV/atom